# 1
Here is an optimized crystal structure of Tc2TeSe from Alexandria. Energies are from GGA-PBE.

abc: 3.1708 3.1708 8.4341
angles: 90.00 90.00 120.77
Sites, in units of the cell vectors:
Se  0.5000  0.5000  0.7500
Tc  0.0000  0.0000  0.9772
Te  0.5000  0.5000  0.2500
Tc  0.0000  0.0000  0.5228

Properties
total energy = -6.074 eV per atom
magnetic moment = 0.00 μB per formula unit
offset from the most stable computed form = 0.777 eV/atom

=====

# 2
Here is an optimized crystal structure of PtSBrCl2 from Alexandria. Energies are from GGA-PBE.

abc: 4.9375 4.9375 4.6374
angles: 90.00 90.00 90.00
Sites, in units of the cell vectors:
S  0.0000  0.0000  0.5000
Pt  0.0000  0.0000  0.0000
Cl  0.5000  0.0000  0.0000
Cl  0.0000  0.5000  0.0000
Br  0.5000  0.5000  0.5000

Properties
total energy = -2.824 eV per atom
magnetic moment = 0.00 μB per formula unit
offset from the most stable computed form = 0.000 eV/atom

=====

# 3
Here is an optimized crystal structure of RbBa3As2O8 from Alexandria. Energies are from GGA-PBE.

abc: 5.8819 5.8819 9.8859
angles: 90.00 90.00 120.00
Sites, in units of the cell vectors:
As  0.3333  0.6667  0.1686
Ba  0.3333  0.6667  0.7406
O  0.1730  0.8270  0.2260
Ba  0.0000  0.0000  0.0000
O  0.1730  0.3460  0.2260
O  0.8270  0.1730  0.7740
O  0.3333  0.6667  0.9935
As  0.6667  0.3333  0.8314
O  0.6667  0.3333  0.0065
Ba  0.6667  0.3333  0.2594
O  0.8270  0.6540  0.7740
O  0.6540  0.8270  0.2260
O  0.3460  0.1730  0.7740
Rb  0.0000  0.0000  0.5000

Properties
total energy = -5.995 eV per atom
magnetic moment = 0.35 μB per formula unit

=====

# 4
Here is an optimized crystal structure of TbPrErTh2 from Alexandria. Energies are from GGA-PBE.

abc: 6.6930 6.6850 8.5653
angles: 112.97 90.00 90.00
Sites, in units of the cell vectors:
Th  0.5000  0.2563  0.0000
Er  0.7500  0.3483  0.6966
Er  0.2500  0.6517  0.3034
Th  0.0000  0.7437  0.0000
Tb  0.7500  0.7206  0.4411
Tb  0.2500  0.2794  0.5589
Th  0.0000  0.2563  0.0000
Th  0.5000  0.7437  0.0000
Pr  0.2500  0.8481  0.6961
Pr  0.7500  0.1519  0.3039

Properties
total energy = -5.351 eV per atom
magnetic moment = 0.00 μB per formula unit
energy of formation = 0.411 eV/atom

=====

Number 3 is which compound?
RbBa3As2O8